No. 1
Material: NbV2MoIr
Method: DFT, PBE-GGA
State: relaxed

## Properties
Space-group type: P4/mmm
Energy relative to the elements in eV/atom: 1.6256
VASP energy in eV per atom: -7.974
Calculated density in Mg/m³: 8.484

a b c (Å): 4.486 4.697 4.486
angles (deg): 90.00 90.00 90.00
Fractional coordinates of all 5 atoms:
Nb  0.000  0.000  0.000
V  0.500  0.000  0.000
V  0.000  0.000  0.500
Mo  0.500  0.500  0.500
Ir  0.000  0.500  0.000

No. 2
Material: NbMoIrW
Method: DFT, PBE-GGA
State: relaxed

## Properties
Space-group type: F-43m
Energy relative to the elements in eV/atom: -0.0509
VASP energy in eV per atom: -10.730
Calculated density in Mg/m³: 14.509

a b c (Å): 4.505 4.505 4.505
angles (deg): 60.00 60.00 60.00
Fractional coordinates of all 4 atoms:
W  0.750  0.750  0.750
Mo  0.000  0.000  0.000
Nb  0.250  0.250  0.250
Ir  0.500  0.500  0.500

The highest energy relative to the elements belongs to which entry?
NbV2MoIr

What did the second record say?
Material: NbMoIrW
Method: DFT, PBE-GGA
State: relaxed

## Properties
Space-group type: F-43m
Energy relative to the elements in eV/atom: -0.0509
VASP energy in eV per atom: -10.730
Calculated density in Mg/m³: 14.509

a b c (Å): 4.505 4.505 4.505
angles (deg): 60.00 60.00 60.00
Fractional coordinates of all 4 atoms:
W  0.750  0.750  0.750
Mo  0.000  0.000  0.000
Nb  0.250  0.250  0.250
Ir  0.500  0.500  0.500

The highest energy relative to the elements belongs to which entry?
NbV2MoIr

Which of these has the lowest VASP energy?
NbMoIrW